No. 1
This record from Alexandria describes a relaxed K2HgPb crystal. The functional is PBE-GGA.

Lattice parameters (Å, degrees): 8.415 8.415 8.415 90.00 90.00 90.00
Space group Fm-3m (No. 225)
One atom of each set of equivalent atoms:
K1 0.250 0.250 0.250 x8
Hg1 0.000 0.000 0.000 x4
Pb1 0.000 0.000 0.500 x4

---

No. 2
This record from Alexandria describes a relaxed LaCePr6Er2 crystal. The functional is PBE-GGA.

Lattice parameters (Å, degrees): 11.353 7.033 9.024 90.00 102.11 90.00
Space group C2/m (No. 12)
One atom of each set of equivalent atoms:
La1 0.000 0.000 0.000 x2
Ce1 0.000 0.500 0.500 x2
Pr1 0.134 0.500 0.921 x4
Pr2 0.167 0.235 0.301 x8
Er1 0.094 0.000 0.655 x4

---

| no. | E_form (eV per atom) | ρ (g/cm3) |
| --- | --- | --- |
| 1 | -0.038 | 5.4 |
| 2 | 0.221 | 6.9 |